Material: MnSiBi3
Method: DFT, PBE
State: relaxed

abc: 5.3560 5.3560 5.3560
angles: 90.00 90.00 90.00
Last column: magnetic moment on the atom in μB.
Fractional positions:
Bi 0.0000 0.5000 0.0000  0.09
Bi 0.5000 0.0000 0.0000  0.07
Bi 0.0000 0.0000 0.5000  0.06
Mn 0.5000 0.5000 0.5000  -0.28
Si 0.0000 0.0000 0.0000  0.01

Output
- energy relative to the lowest polymorph listed for this composition (meV per atom) = 634
- magnetization (μB per formula unit) = 0.121
- SG = Pm-3m
- DFT total energy (eV/cell) = -19.2